VASP calculation (GGA-PBE) on a geometry-optimized BaDy2Sc structure.

## Properties
Total magnetic moment = 0.00 μB per formula unit
VASP energy = -16.8 eV per formula unit
Energy above the lowest structure with this stoichiometry = 0 meV per atom
SG = No. 123

POSCAR file:
```
BaDy2Sc
1.0
-1.872 2.183 2.627
-3.376 -0.728 -1.800
-1.263 -7.664 5.468
Dy Ba Sc
2 1 1
Cartesian
-1.027 -6.233 4.447
-0.236 -1.431 1.021
-3.255 -3.105 3.147
-2.624 0.727 0.413
```